[1]
Computed, not measured: a relaxed structure of La2TmCu2S6 at the PBE-GGA level of DFT.

Values from the calculation:
The uncorrected formation energy comes out at -1.22 eV/atom.

Lattice parameters (Å, degrees): 7.0181 7.0181 19.9175 90.00 90.00 120.00
Space group R-3m (No. 166, hexagonal axes)
Inequivalent atoms, fractional coordinates:
La1 0.0000 0.0000 0.1989 (multiplicity 6)
Tm1 0.0000 0.0000 0.0000 (multiplicity 3)
Cu1 0.0000 0.0000 0.4284 (multiplicity 6)
S1 0.0233 0.5117 0.7605 (multiplicity 18)


[2]
Computed, not measured: a relaxed structure of La2UCuS6 at the PBE-GGA level of DFT.

Values from the calculation:
The uncorrected formation energy comes out at -1.49 eV/atom.

Lattice parameters (Å, degrees): 11.918 6.730 6.946 90.00 121.87 90.00
Space group C2/m (No. 12)
Inequivalent atoms, fractional coordinates:
La1 0.237 0.000 0.202 (multiplicity 4)
U1 0.000 0.000 0.500 (multiplicity 2)
Cu1 0.000 0.500 0.000 (multiplicity 2)
S1 0.067 0.258 0.824 (multiplicity 8)
S2 0.246 0.000 0.621 (multiplicity 4)


[3]
Computed, not measured: a relaxed structure of LaU3Cu4S12 at the PBE-GGA level of DFT.

Values from the calculation:
The uncorrected formation energy comes out at -0.91 eV/atom.

Lattice parameters (Å, degrees): 13.3485 13.3485 9.6312 90.00 90.00 120.00
Space group R32 (No. 155, hexagonal axes)
Inequivalent atoms, fractional coordinates:
La1 0.0000 0.0000 0.0000 (multiplicity 3)
U1 0.0000 0.5599 0.0000 (multiplicity 9)
Cu1 0.0000 0.0000 0.5000 (multiplicity 3)
Cu2 0.0000 0.4256 0.5000 (multiplicity 9)
S1 0.0000 0.5965 0.5000 (multiplicity 9)
S2 0.0000 0.8388 0.5000 (multiplicity 9)
S3 0.0495 0.2018 0.1809 (multiplicity 18)


[4]
Computed, not measured: a relaxed structure of LaYCu2S4 at the PBE-GGA level of DFT.

Values from the calculation:
The uncorrected formation energy comes out at -1.27 eV/atom.

Lattice parameters (Å, degrees): 6.524 6.800 7.664 90.00 90.00 90.00
Space group I222 (No. 23)
Inequivalent atoms, fractional coordinates:
La1 0.000 0.000 0.000 (multiplicity 2)
Y1 0.000 0.000 0.500 (multiplicity 2)
Cu1 0.000 0.500 0.170 (multiplicity 4)
S1 0.246 0.214 0.298 (multiplicity 8)


[5]
Computed, not measured: a relaxed structure of La2ZrCuS5 at the PBE-GGA level of DFT.

Values from the calculation:
The uncorrected formation energy comes out at -1.72 eV/atom.

Lattice parameters (Å, degrees): 3.876 16.653 11.807 90.00 90.00 90.00
Space group Cmc2_1 (No. 36)
Inequivalent atoms, fractional coordinates:
La1 0.000 0.118 0.000 (multiplicity 4)
La2 0.000 0.123 0.631 (multiplicity 4)
Zr1 0.000 0.186 0.322 (multiplicity 4)
Cu1 0.000 0.439 0.739 (multiplicity 4)
S1 0.000 0.037 0.340 (multiplicity 4)
S2 0.000 0.299 0.975 (multiplicity 4)
S3 0.000 0.307 0.668 (multiplicity 4)
S4 0.000 0.347 0.317 (multiplicity 4)
S5 0.000 0.497 0.069 (multiplicity 4)


[6]
Computed, not measured: a relaxed structure of La2CuSb at the PBE-GGA level of DFT.

Values from the calculation:
The uncorrected formation energy comes out at -0.21 eV/atom.

Lattice parameters (Å, degrees): 3.683 3.683 8.499 90.00 90.00 90.00
Space group P4mm (No. 99)
Inequivalent atoms, fractional coordinates:
La1 0.000 0.000 0.000 (multiplicity 1)
La2 0.500 0.500 0.373 (multiplicity 1)
Cu1 0.500 0.500 0.790 (multiplicity 1)
Sb1 0.000 0.000 0.624 (multiplicity 1)


- What is the formula in the first record?
  La2TmCu2S6


- Number 5 is which compound?
  La2ZrCuS5